[1]
# MgTaI2

A relaxed MgTaI2 crystal (PBE-GGA, Alexandria via LeMat-Bulk).

Geometry as POSCAR:
```
MgTaI2
1.0
0.000 3.558 3.558
3.558 0.000 3.558
3.558 3.558 0.000
Mg I Ta
1 2 1
Cartesian
0.000 0.000 0.000
1.779 1.779 1.779
5.336 5.336 5.336
3.558 3.558 3.558
```

Properties
Energy relative to the elements, uncorrected in meV/atom: 566
Symmetry: Fm-3m, No. 225
DFT total energy in eV per cell: -14.3
ρ in g cm⁻³: 8.46
Distance to the lowest polymorph of the same formula in meV/atom: 143

[2]
# Mg2TaI

A relaxed Mg2TaI crystal (PBE-GGA, Alexandria via LeMat-Bulk).

Geometry as POSCAR:
```
Mg2TaI
1.0
0.000 3.638 3.638
3.638 0.000 3.638
3.638 3.638 0.000
Mg Ta I
2 1 1
Cartesian
1.819 1.819 1.819
5.457 5.457 5.457
3.638 3.638 3.638
0.000 0.000 0.000
```

Properties
Energy relative to the elements, uncorrected in meV/atom: 963
Symmetry: Fm-3m, No. 225
DFT total energy in eV per cell: -12.7
ρ in g cm⁻³: 6.15

[3]
# MgTaI2

A relaxed MgTaI2 crystal (PBE-GGA, Alexandria via LeMat-Bulk).

Geometry as POSCAR:
```
MgTaI2
1.0
9.893 0.000 0.000
0.000 9.893 0.000
4.947 4.947 2.888
Mg I Ta
2 4 2
Cartesian
4.947 4.947 0.000
4.947 9.893 1.444
8.859 2.473 0.722
12.367 3.912 2.166
10.928 7.420 0.722
7.420 5.981 2.166
0.000 0.000 0.000
9.893 4.947 1.444
```

Properties
Energy relative to the elements, uncorrected in meV/atom: 423
Symmetry: I-42d, No. 122
DFT total energy in eV per cell: -29.7
ρ in g cm⁻³: 5.39
Distance to the lowest polymorph of the same formula in meV/atom: 0

[4]
# MgTa2I

A relaxed MgTa2I crystal (PBE-GGA, Alexandria via LeMat-Bulk).

Geometry as POSCAR:
```
MgTa2I
1.0
-1.555 -4.554 -0.241
-4.400 -0.955 -1.716
-0.501 -2.151 -4.282
Ta Mg I
2 1 1
Cartesian
-1.614 -1.915 -1.560
-4.842 -5.745 -4.680
0.000 0.000 0.000
-3.228 -3.830 -3.120
```

Properties
Energy relative to the elements, uncorrected in meV/atom: 1021
Symmetry: Fm-3m, No. 225
DFT total energy in eV per cell: -22.8
ρ in g cm⁻³: 10.77
Distance to the lowest polymorph of the same formula in meV/atom: 234

[5]
# MgTaTe2I

A relaxed MgTaTe2I crystal (PBE-GGA, Alexandria via LeMat-Bulk).

Geometry as POSCAR:
```
MgTaTe2I
1.0
-4.373 2.418 1.976
0.314 -3.042 4.418
3.028 3.617 2.275
Ta Te Mg I
1 2 1 1
Cartesian
-0.516 1.496 4.334
-2.186 1.209 0.988
0.157 -1.521 2.209
0.000 0.000 0.000
1.514 1.809 1.138
```

Properties
Energy relative to the elements, uncorrected in meV/atom: 980
Symmetry: P4/mmm, No. 123
DFT total energy in eV per cell: -16.4
ρ in g cm⁻³: 6.45
Distance to the lowest polymorph of the same formula in meV/atom: 806

[6]
# MgTaTeI2

A relaxed MgTaTeI2 crystal (PBE-GGA, Alexandria via LeMat-Bulk).

Geometry as POSCAR:
```
MgTaTeI2
1.0
5.599 0.000 0.000
0.000 5.599 0.000
0.000 0.000 5.444
I Te Mg Ta
2 1 1 1
Cartesian
0.000 2.799 0.000
2.799 0.000 0.000
0.000 0.000 2.722
2.799 2.799 2.722
0.000 0.000 0.000
```

Properties
Energy relative to the elements, uncorrected in meV/atom: 210
Symmetry: P4/mmm, No. 123
DFT total energy in eV per cell: -18.6
ρ in g cm⁻³: 5.71
Distance to the lowest polymorph of the same formula in meV/atom: 0

[7]
# MgTaTe2I

A relaxed MgTaTe2I crystal (PBE-GGA, Alexandria via LeMat-Bulk).

Geometry as POSCAR:
```
MgTaTe2I
1.0
5.438 0.000 0.000
0.000 5.438 0.000
0.000 0.000 5.641
Te Ta I Mg
2 1 1 1
Cartesian
2.719 0.000 0.000
0.000 2.719 0.000
0.000 0.000 0.000
0.000 0.000 2.821
2.719 2.719 2.821
```

Properties
Energy relative to the elements, uncorrected in meV/atom: 175
Symmetry: P4/mmm, No. 123
DFT total energy in eV per cell: -20.4
ρ in g cm⁻³: 5.85
Distance to the lowest polymorph of the same formula in meV/atom: 0

[8]
# MgTaTeI2

A relaxed MgTaTeI2 crystal (PBE-GGA, Alexandria via LeMat-Bulk).

Geometry as POSCAR:
```
MgTaTeI2
1.0
-1.502 -0.546 -5.155
-2.352 -4.711 1.184
-4.846 2.703 1.126
I Te Ta Mg
2 1 1 1
Cartesian
-1.176 -2.356 0.592
-0.751 -0.273 -2.578
-2.423 1.351 0.563
-4.350 -1.277 -1.423
0.000 0.000 0.000
```

Properties
Energy relative to the elements, uncorrected in meV/atom: 783
Symmetry: P4/mmm, No. 123
DFT total energy in eV per cell: -15.8
ρ in g cm⁻³: 5.91
Distance to the lowest polymorph of the same formula in meV/atom: 573